This record from the Open Quantum Materials Database describes LuNpSn after structural relaxation. The functional is PBE.

Results
- crystal system = cubic
- magnetization (μB/f.u.) = 5.8
- energy relative to the lowest polymorph listed for this composition (eV/f.u.) = 0.00
- DFT total energy (eV/atom) = -6.63
- volume (Å³ per cell) = 362.5

Lattice parameters (Å, degrees): 7.1303 7.1303 7.1303 90.00 90.00 90.00
Space group F-43m (No. 216)
Asymmetric unit:
Lu1 0.0000 0.0000 0.0000 x4
Np1 0.2500 0.2500 0.7500 x4
Sn1 0.2500 0.2500 0.2500 x4